--- i ---
The following is a PBE-GGA calculation of a relaxed LiBi2Au2 crystal, from the Alexandria database.

Cell: 4.417 5.840 9.702 Å, 84.94 76.84 67.78°
Fractional positions:
Bi (0.305, 0.268, 0.122)
Bi (0.497, 0.680, 0.327)
Bi (0.695, 0.732, 0.878)
Bi (0.503, 0.320, 0.673)
Li (0.789, 0.078, 0.344)
Li (0.211, 0.922, 0.656)
Au (0.961, 0.184, 0.894)
Au (0.849, 0.741, 0.561)
Au (0.151, 0.259, 0.439)
Au (0.039, 0.816, 0.106)

Results
The space group is C2/m (12).


--- ii ---
The following is a PBE-GGA calculation of a relaxed LiBi2Au2 crystal, from the Alexandria database.

Cell: 4.781 4.781 7.020 Å, 70.09 70.09 90.00°
Fractional positions:
Bi (0.750, 0.250, 0.500)
Bi (0.250, 0.750, 0.500)
Li (0.000, 0.000, 0.000)
Au (0.392, 0.392, 0.215)
Au (0.608, 0.608, 0.785)

Results
The space group is I4/mmm (139).


What is the least stable structure shown above? It is ii.